(1)
A plane-wave DFT calculation with meta-GGA SCAN was carried out for Ho2P4O13 at its PBEsol-relaxed geometry. Values from VASP.

```
&SYSTEM
  ibrav = 0, nat = 38, ntyp = 3
/
ATOMIC_SPECIES
Ho 164.93 Ho.upf
P 30.97 P.upf
O 16.00 O.upf
CELL_PARAMETERS angstrom
3.496 -8.657 0.000
3.496 8.657 0.000
0.000 0.000 8.541
ATOMIC_POSITIONS crystal
Ho 0.104 0.397 0.149
Ho 0.397 0.104 0.851
Ho 0.603 0.896 0.351
Ho 0.896 0.603 0.649
P 0.080 0.400 0.501
P 0.221 0.348 0.776
P 0.348 0.221 0.224
P 0.400 0.080 0.499
P 0.600 0.920 0.999
P 0.652 0.779 0.724
P 0.779 0.652 0.276
P 0.920 0.600 0.001
O 0.015 0.473 0.608
O 0.081 0.765 0.881
O 0.093 0.325 0.900
O 0.117 0.285 0.607
O 0.235 0.919 0.619
O 0.242 0.285 0.201
O 0.274 0.570 0.401
O 0.285 0.117 0.393
O 0.285 0.242 0.799
O 0.325 0.093 0.100
O 0.411 0.589 0.750
O 0.430 0.726 0.099
O 0.473 0.015 0.392
O 0.527 0.985 0.892
O 0.570 0.274 0.599
O 0.589 0.411 0.250
O 0.675 0.907 0.600
O 0.715 0.758 0.299
O 0.715 0.883 0.893
O 0.726 0.430 0.901
O 0.758 0.715 0.701
O 0.765 0.081 0.119
O 0.883 0.715 0.107
O 0.907 0.675 0.400
O 0.919 0.235 0.381
O 0.985 0.527 0.108
```

The space group is C222_1 (20). Its crystal system is orthorhombic.

***

(2)
A plane-wave DFT calculation with meta-GGA SCAN was carried out for Ho2P4O13 at its PBEsol-relaxed geometry. Values from VASP.

```
&SYSTEM
  ibrav = 0, nat = 38, ntyp = 3
/
ATOMIC_SPECIES
Ho 164.93 Ho.upf
P 30.97 P.upf
O 16.00 O.upf
CELL_PARAMETERS angstrom
5.885 -3.353 0.000
5.885 3.353 0.000
-3.713 0.000 12.266
ATOMIC_POSITIONS crystal
Ho 0.188 0.194 0.048
Ho 0.194 0.188 0.548
Ho 0.806 0.812 0.452
Ho 0.812 0.806 0.952
P 0.251 0.272 0.338
P 0.272 0.251 0.838
P 0.331 0.646 0.133
P 0.354 0.669 0.367
P 0.646 0.331 0.633
P 0.669 0.354 0.867
P 0.728 0.749 0.162
P 0.749 0.728 0.662
O 0.050 0.421 0.404
O 0.074 0.422 0.904
O 0.164 0.823 0.057
O 0.177 0.836 0.443
O 0.187 0.199 0.219
O 0.199 0.187 0.719
O 0.244 0.756 0.250
O 0.372 0.403 0.101
O 0.382 0.417 0.345
O 0.403 0.372 0.601
O 0.417 0.382 0.845
O 0.421 0.050 0.904
O 0.422 0.074 0.404
O 0.578 0.926 0.596
O 0.579 0.950 0.096
O 0.583 0.618 0.155
O 0.597 0.628 0.399
O 0.618 0.583 0.655
O 0.628 0.597 0.899
O 0.756 0.244 0.750
O 0.801 0.813 0.281
O 0.813 0.801 0.781
O 0.823 0.164 0.557
O 0.836 0.177 0.943
O 0.926 0.578 0.096
O 0.950 0.579 0.596
```

The space group is C2/c (15). Its crystal system is monoclinic.

***

Most stable one: (1), least stable one: (2).

***

(1)
A plane-wave DFT calculation with meta-GGA SCAN was carried out for Ho3ReO8 at its PBEsol-relaxed geometry. Values from VASP.

```
&SYSTEM
  ibrav = 0, nat = 48, ntyp = 3
/
ATOMIC_SPECIES
Ho 164.93 Ho.upf
Re 186.21 Re.upf
O 16.00 O.upf
CELL_PARAMETERS angstrom
7.101 0.000 0.000
0.000 5.961 0.000
-5.130 0.000 13.242
ATOMIC_POSITIONS crystal
Ho 0.093 0.242 0.203
Ho 0.093 0.258 0.703
Ho 0.163 0.197 0.446
Ho 0.163 0.303 0.946
Ho 0.394 0.686 0.333
Ho 0.394 0.814 0.833
Ho 0.606 0.186 0.167
Ho 0.606 0.314 0.667
Ho 0.837 0.697 0.054
Ho 0.837 0.803 0.554
Ho 0.907 0.742 0.297
Ho 0.907 0.758 0.797
Re 0.320 0.747 0.090
Re 0.320 0.753 0.590
Re 0.680 0.247 0.410
Re 0.680 0.253 0.910
O 0.082 0.693 0.978
O 0.082 0.807 0.478
O 0.147 0.030 0.843
O 0.147 0.470 0.343
O 0.165 0.646 0.171
O 0.165 0.854 0.671
O 0.190 0.530 0.827
O 0.190 0.970 0.327
O 0.248 0.050 0.096
O 0.248 0.450 0.596
O 0.383 0.054 0.589
O 0.383 0.446 0.089
O 0.463 0.201 0.785
O 0.463 0.299 0.285
O 0.481 0.695 0.518
O 0.481 0.805 0.018
O 0.519 0.195 0.982
O 0.519 0.305 0.482
O 0.537 0.701 0.715
O 0.537 0.799 0.215
O 0.617 0.554 0.911
O 0.617 0.946 0.411
O 0.752 0.550 0.404
O 0.752 0.950 0.904
O 0.810 0.030 0.673
O 0.810 0.470 0.173
O 0.835 0.146 0.329
O 0.835 0.354 0.829
O 0.853 0.530 0.657
O 0.853 0.970 0.157
O 0.918 0.193 0.522
O 0.918 0.307 0.022
```

The space group is P2_1/c (14). Its crystal system is monoclinic.

***

(2)
A plane-wave DFT calculation with meta-GGA SCAN was carried out for Ho3ReO8 at its PBEsol-relaxed geometry. Values from VASP.

```
&SYSTEM
  ibrav = 0, nat = 24, ntyp = 3
/
ATOMIC_SPECIES
Ho 164.93 Ho.upf
Re 186.21 Re.upf
O 16.00 O.upf
CELL_PARAMETERS angstrom
3.994 -5.793 0.000
3.994 5.793 0.000
0.000 0.000 6.187
ATOMIC_POSITIONS crystal
Ho 0.096 0.904 0.750
Ho 0.169 0.393 0.750
Ho 0.393 0.169 0.250
Ho 0.607 0.831 0.750
Ho 0.831 0.607 0.250
Ho 0.904 0.096 0.250
Re 0.318 0.682 0.250
Re 0.682 0.318 0.750
O 0.072 0.457 0.250
O 0.152 0.848 0.250
O 0.171 0.171 0.000
O 0.171 0.171 0.500
O 0.308 0.692 0.553
O 0.308 0.692 0.947
O 0.457 0.072 0.750
O 0.476 0.524 0.250
O 0.524 0.476 0.750
O 0.543 0.928 0.250
O 0.692 0.308 0.053
O 0.692 0.308 0.447
O 0.829 0.829 0.000
O 0.829 0.829 0.500
O 0.848 0.152 0.750
O 0.928 0.543 0.750
```

The space group is Cmcm (63). Its crystal system is orthorhombic.

***

Most stable one: (1), least stable one: (2).

***

(1)
A plane-wave DFT calculation with meta-GGA SCAN was carried out for Ho2Se3O12 at its PBEsol-relaxed geometry. Values from VASP.

```
&SYSTEM
  ibrav = 0, nat = 34, ntyp = 3
/
ATOMIC_SPECIES
Ho 164.93 Ho.upf
Se 78.96 Se.upf
O 16.00 O.upf
CELL_PARAMETERS angstrom
3.508 -5.688 0.000
3.508 5.688 0.000
-3.496 0.000 10.537
ATOMIC_POSITIONS crystal
Ho 0.049 0.299 0.092
Ho 0.299 0.049 0.592
Ho 0.701 0.951 0.408
Ho 0.951 0.701 0.908
Se 0.133 0.867 0.250
Se 0.214 0.452 0.424
Se 0.452 0.214 0.924
Se 0.548 0.786 0.076
Se 0.786 0.548 0.576
Se 0.867 0.133 0.750
O 0.000 0.419 0.788
O 0.000 0.581 0.212
O 0.044 0.941 0.121
O 0.059 0.956 0.379
O 0.074 0.682 0.606
O 0.253 0.654 0.043
O 0.263 0.369 0.287
O 0.315 0.381 0.546
O 0.318 0.926 0.894
O 0.346 0.747 0.457
O 0.369 0.263 0.787
O 0.381 0.315 0.046
O 0.419 0.000 0.288
O 0.581 0.000 0.712
O 0.619 0.685 0.954
O 0.631 0.737 0.213
O 0.654 0.253 0.543
O 0.682 0.074 0.106
O 0.685 0.619 0.454
O 0.737 0.631 0.713
O 0.747 0.346 0.957
O 0.926 0.318 0.394
O 0.941 0.044 0.621
O 0.956 0.059 0.879
```

The space group is C2/c (15). Its crystal system is monoclinic.

***

(2)
A plane-wave DFT calculation with meta-GGA SCAN was carried out for Ho2Se3O12 at its PBEsol-relaxed geometry. Values from VASP.

```
&SYSTEM
  ibrav = 0, nat = 34, ntyp = 3
/
ATOMIC_SPECIES
Ho 164.93 Ho.upf
Se 78.96 Se.upf
O 16.00 O.upf
CELL_PARAMETERS angstrom
4.764 2.751 8.216
-4.764 2.751 8.216
0.000 -5.501 8.216
ATOMIC_POSITIONS crystal
Ho 0.144 0.144 0.144
Ho 0.356 0.356 0.356
Ho 0.644 0.644 0.644
Ho 0.856 0.856 0.856
Se 0.034 0.750 0.466
Se 0.250 0.534 0.966
Se 0.466 0.034 0.750
Se 0.534 0.966 0.250
Se 0.750 0.466 0.034
Se 0.966 0.250 0.534
O 0.007 0.769 0.635
O 0.064 0.920 0.295
O 0.080 0.705 0.936
O 0.135 0.269 0.507
O 0.205 0.580 0.436
O 0.231 0.365 0.993
O 0.269 0.507 0.135
O 0.295 0.064 0.920
O 0.365 0.993 0.231
O 0.420 0.564 0.795
O 0.436 0.205 0.580
O 0.493 0.865 0.731
O 0.507 0.135 0.269
O 0.564 0.795 0.420
O 0.580 0.436 0.205
O 0.635 0.007 0.769
O 0.705 0.936 0.080
O 0.731 0.493 0.865
O 0.769 0.635 0.007
O 0.795 0.420 0.564
O 0.865 0.731 0.493
O 0.920 0.295 0.064
O 0.936 0.080 0.705
O 0.993 0.231 0.365
```

The space group is R-3c (167). Its crystal system is trigonal.

***

Most stable one: (2), least stable one: (1).

***

(1)
A plane-wave DFT calculation with meta-GGA SCAN was carried out for Ho2Se3O9 at its PBEsol-relaxed geometry. Values from VASP.

```
&SYSTEM
  ibrav = 0, nat = 28, ntyp = 3
/
ATOMIC_SPECIES
Ho 164.93 Ho.upf
Se 78.96 Se.upf
O 16.00 O.upf
CELL_PARAMETERS angstrom
8.501 0.000 0.000
-4.251 7.362 0.000
0.000 0.000 8.094
ATOMIC_POSITIONS crystal
Ho 0.333 0.667 0.040
Ho 0.333 0.667 0.460
Ho 0.667 0.333 0.540
Ho 0.667 0.333 0.960
Se 0.028 0.295 0.750
Se 0.267 0.972 0.750
Se 0.295 0.267 0.250
Se 0.705 0.733 0.750
Se 0.733 0.028 0.250
Se 0.972 0.705 0.250
O 0.139 0.644 0.250
O 0.155 0.415 0.585
O 0.155 0.415 0.915
O 0.260 0.845 0.585
O 0.260 0.845 0.915
O 0.356 0.495 0.250
O 0.415 0.260 0.085
O 0.415 0.260 0.415
O 0.495 0.139 0.750
O 0.505 0.861 0.250
O 0.585 0.740 0.585
O 0.585 0.740 0.915
O 0.644 0.505 0.750
O 0.740 0.155 0.085
O 0.740 0.155 0.415
O 0.845 0.585 0.085
O 0.845 0.585 0.415
O 0.861 0.356 0.750
```

The space group is P6_3/m (176). Its crystal system is hexagonal.

***

(2)
A plane-wave DFT calculation with meta-GGA SCAN was carried out for Ho2Se3O9 at its PBEsol-relaxed geometry. Values from VASP.

```
&SYSTEM
  ibrav = 0, nat = 28, ntyp = 3
/
ATOMIC_SPECIES
Ho 164.93 Ho.upf
Se 78.96 Se.upf
O 16.00 O.upf
CELL_PARAMETERS angstrom
6.966 0.000 0.000
3.174 7.286 0.000
2.936 1.727 8.139
ATOMIC_POSITIONS crystal
Ho 0.168 0.272 0.412
Ho 0.244 0.736 0.793
Ho 0.756 0.264 0.207
Ho 0.832 0.728 0.588
Se 0.072 0.224 0.806
Se 0.352 0.247 0.035
Se 0.384 0.759 0.407
Se 0.616 0.241 0.593
Se 0.648 0.753 0.965
Se 0.928 0.776 0.194
O 0.017 0.592 0.350
O 0.090 0.288 0.151
O 0.144 0.056 0.692
O 0.150 0.755 0.559
O 0.155 0.796 0.049
O 0.331 0.432 0.875
O 0.350 0.989 0.338
O 0.431 0.311 0.168
O 0.465 0.301 0.450
O 0.535 0.699 0.550
O 0.569 0.689 0.832
O 0.650 0.011 0.662
O 0.669 0.568 0.125
O 0.845 0.204 0.951
O 0.850 0.245 0.441
O 0.856 0.944 0.308
O 0.910 0.712 0.849
O 0.983 0.408 0.650
```

The space group is P-1 (2). Its crystal system is triclinic.

***

Most stable one: (2), least stable one: (1).

***

(1)
A plane-wave DFT calculation with meta-GGA SCAN was carried out for HoTa3O9 at its PBEsol-relaxed geometry. Values from VASP.

```
&SYSTEM
  ibrav = 0, nat = 52, ntyp = 3
/
ATOMIC_SPECIES
Ho 164.93 Ho.upf
Ta 180.95 Ta.upf
O 16.00 O.upf
CELL_PARAMETERS angstrom
6.371 0.000 0.000
0.000 7.555 0.000
0.000 0.000 12.407
ATOMIC_POSITIONS crystal
Ho 0.059 0.250 0.034
Ho 0.441 0.750 0.534
Ho 0.559 0.250 0.466
Ho 0.941 0.750 0.966
Ta 0.000 0.000 0.500
Ta 0.000 0.500 0.500
Ta 0.195 0.003 0.789
Ta 0.195 0.497 0.789
Ta 0.305 0.503 0.289
Ta 0.305 0.997 0.289
Ta 0.500 0.000 0.000
Ta 0.500 0.500 0.000
Ta 0.695 0.003 0.711
Ta 0.695 0.497 0.711
Ta 0.805 0.503 0.211
Ta 0.805 0.997 0.211
O 0.009 0.050 0.658
O 0.009 0.450 0.658
O 0.075 0.750 0.530
O 0.113 0.042 0.168
O 0.113 0.458 0.168
O 0.149 0.250 0.837
O 0.198 0.750 0.811
O 0.201 0.532 0.965
O 0.201 0.968 0.965
O 0.299 0.032 0.465
O 0.299 0.468 0.465
O 0.302 0.250 0.311
O 0.351 0.750 0.337
O 0.387 0.542 0.668
O 0.387 0.958 0.668
O 0.425 0.250 0.030
O 0.491 0.550 0.158
O 0.491 0.950 0.158
O 0.509 0.050 0.842
O 0.509 0.450 0.842
O 0.575 0.750 0.970
O 0.613 0.042 0.332
O 0.613 0.458 0.332
O 0.649 0.250 0.663
O 0.698 0.750 0.689
O 0.701 0.532 0.535
O 0.701 0.968 0.535
O 0.799 0.032 0.035
O 0.799 0.468 0.035
O 0.802 0.250 0.189
O 0.851 0.750 0.163
O 0.887 0.542 0.832
O 0.887 0.958 0.832
O 0.925 0.250 0.470
O 0.991 0.550 0.342
O 0.991 0.950 0.342
```

The space group is Pnma (62). Its crystal system is orthorhombic.

***

(2)
A plane-wave DFT calculation with meta-GGA SCAN was carried out for HoTa3O9 at its PBEsol-relaxed geometry. Values from VASP.

```
&SYSTEM
  ibrav = 0, nat = 26, ntyp = 3
/
ATOMIC_SPECIES
Ho 164.93 Ho.upf
Ta 180.95 Ta.upf
O 16.00 O.upf
CELL_PARAMETERS angstrom
5.217 0.000 0.000
0.000 7.424 0.000
-0.359 0.000 8.200
ATOMIC_POSITIONS crystal
Ho 0.034 0.250 0.434
Ho 0.966 0.750 0.566
Ta 0.000 0.000 0.000
Ta 0.000 0.500 0.000
Ta 0.470 0.008 0.696
Ta 0.470 0.492 0.696
Ta 0.530 0.508 0.304
Ta 0.530 0.992 0.304
O 0.103 0.250 0.977
O 0.144 0.567 0.783
O 0.144 0.933 0.783
O 0.256 0.544 0.467
O 0.256 0.956 0.467
O 0.329 0.250 0.652
O 0.329 0.557 0.118
O 0.329 0.943 0.118
O 0.421 0.250 0.313
O 0.579 0.750 0.687
O 0.671 0.057 0.882
O 0.671 0.443 0.882
O 0.671 0.750 0.348
O 0.744 0.044 0.533
O 0.744 0.456 0.533
O 0.856 0.067 0.217
O 0.856 0.433 0.217
O 0.897 0.750 0.023
```

The space group is P2_1/m (11). Its crystal system is monoclinic.

***

Most stable one: (2), least stable one: (1).